Below is an optimized crystal structure of YSClO4, with properties calculated at the PBE-GGA level.

Structure (CIF):
```
data_YSClO4
_chemical_formula_sum 'Y2 S2 Cl2 O8'
_cell_length_a 5.9853
_cell_length_b 5.9853
_cell_length_c 6.4316
_cell_angle_alpha 78.75
_cell_angle_beta 78.75
_cell_angle_gamma 71.16
_symmetry_space_group_name_H-M 'P 1'
_symmetry_Int_Tables_number 1
loop_
_symmetry_equiv_pos_as_xyz
'x,y,z'
loop_
_atom_site_label
_atom_site_type_symbol
_atom_site_fract_x
_atom_site_fract_y
_atom_site_fract_z
_atom_site_occupancy
S1 S 0.6364 0.6364 0.7344 1
S2 S 0.3636 0.3636 0.2656 1
Cl1 Cl 0.0213 0.0213 0.2383 1
Cl2 Cl 0.9787 0.9787 0.7617 1
O1 O 0.5155 0.8529 0.8495 1
O2 O 0.5165 0.5165 0.2376 1
O3 O 0.7114 0.7114 0.5084 1
O4 O 0.8529 0.5155 0.8495 1
O5 O 0.4845 0.1471 0.1505 1
O6 O 0.1471 0.4845 0.1505 1
O7 O 0.2886 0.2886 0.4916 1
O8 O 0.4835 0.4835 0.7624 1
Y1 Y 0.7740 0.7740 0.1350 1
Y2 Y 0.2260 0.2260 0.8650 1
```

N(E_F): 0.00 states/eV/f.u.
theoretical density: 3458 kg/m³
formation energy without anion corrections: -206.4 kJ per mole of atoms
space group: C2/m (12)
VASP energy: -6.749 eV/atom
calculated volume: 105.9 Å³/f.u.